Record 1
Material: Nd4Sm2Al
Method: DFT, GGA-PBE
State: relaxed

a = 3.6930 Å, b = 3.6930 Å, c = 59.0676 Å
α = 90.00°, β = 90.00°, γ = 120.00°
Space group R-3m (No. 166, hexagonal axes)
Asymmetric unit:
Nd: 0.0000 0.0000 0.0919 x6
Nd: 0.0000 0.0000 0.2944 x6
Sm: 0.0000 0.0000 0.1916 x6
Al: 0.0000 0.0000 0.0000 x3

Summary:
The energy of formation is -0.009 eV/atom. Its theoretical density is 6.46 g cm⁻³.

***

Record 2
Material: Nd2SmAl6
Method: DFT, GGA-PBE
State: relaxed

a = 7.9684 Å, b = 7.9684 Å, c = 3.7032 Å
α = 90.00°, β = 90.00°, γ = 120.00°
Space group P6/mmm (No. 191)
Asymmetric unit:
Nd: 0.3333 0.6667 0.0000 x2
Sm: 0.0000 0.0000 0.0000 x1
Al: 0.0000 0.3326 0.5000 x6

Summary:
The energy of formation is -0.479 eV/atom. Its theoretical density is 4.90 g cm⁻³.

***

Record 3
Material: NdSm4Al4
Method: DFT, GGA-PBE
State: relaxed

a = 8.8799 Å, b = 8.8799 Å, c = 6.0236 Å
α = 90.00°, β = 90.00°, γ = 90.00°
Space group P4_2/n (No. 86, origin choice 2)
Asymmetric unit:
Nd: 0.2500 0.2500 0.2500 x2
Sm: 0.0807 0.8236 0.6324 x8
Al: 0.0574 0.1570 0.8443 x8

Summary:
The energy of formation is -0.143 eV/atom. Its theoretical density is 5.97 g cm⁻³.